Below is a relaxed MgMn4O5 crystal, with properties calculated at the GGA+U level.

Structure (CIF):
```
data_MgMn4O5
_space_group_name_H-M_alt 'P 1'
_space_group_IT_number 1
_cell_length_a 5.474
_cell_length_b 5.474
_cell_length_c 5.474
_cell_angle_alpha 99.57
_cell_angle_beta 99.57
_cell_angle_gamma 131.88
loop_
_space_group_symop_operation_xyz
'x,y,z'
loop_
_atom_site_label
_atom_site_fract_x
_atom_site_fract_y
_atom_site_fract_z
Mg1 0.000 0.000 0.000
Mn1 0.201 0.599 0.800
Mn2 0.401 0.201 0.602
Mn3 0.599 0.799 0.398
Mn4 0.799 0.401 0.200
O1 0.094 0.291 0.385
O2 0.291 0.906 0.197
O3 0.500 0.500 0.000
O4 0.709 0.094 0.803
O5 0.906 0.709 0.615
```

Output
The theoretical density is 4.8 g cm⁻³. The total energy comes out at -74.46 eV per cell. The total magnetization is 2.00 μB/atom.